NbSbTe2Se: optimized geometry, PBE. Values from VASP.

```
&SYSTEM
  ibrav = 0, nat = 5, ntyp = 4
/
ATOMIC_SPECIES
Nb 92.91 Nb.upf
Sb 121.76 Sb.upf
Te 127.60 Te.upf
Se 78.96 Se.upf
CELL_PARAMETERS angstrom
5.283 0.000 0.000
0.000 5.283 0.000
0.000 0.000 5.466
ATOMIC_POSITIONS angstrom
Nb 0.000 0.000 0.000
Sb 0.000 0.000 2.733
Te 0.000 2.641 0.000
Te 2.641 0.000 0.000
Se 2.641 2.641 2.733
```

Computed properties:
The value obtained for the energy above the most stable polymorph in this dataset is 0.0000 eV per atom. The formation energy without anion corrections is 1.725 eV per formula unit. The value obtained for the total magnetization is 0.0 Bohr magnetons per cell.

Er3Tl2Hg: optimized geometry, PBE. Values from VASP.

```
&SYSTEM
  ibrav = 0, nat = 6, ntyp = 3
/
ATOMIC_SPECIES
Er 167.26 Er.upf
Tl 204.38 Tl.upf
Hg 200.59 Hg.upf
CELL_PARAMETERS angstrom
3.705 0.000 0.000
0.000 3.705 0.000
0.000 0.000 11.499
ATOMIC_POSITIONS angstrom
Er 0.000 0.000 0.000
Er 0.000 0.000 3.950
Er 0.000 0.000 7.549
Tl 1.852 1.852 1.978
Tl 1.852 1.852 9.521
Hg 1.852 1.852 5.749
```

Computed properties:
The value obtained for the total magnetization is 0.0 Bohr magnetons per cell. Its energy of formation is -0.37 eV per atom.